(1)
First-principles (PBE) data for an optimized crystal structure of LiHoZrIn, as listed in Alexandria via LeMat-Bulk.

Values from the calculation:
Total DFT energy (no corrections) (eV/atom): -4.5620
Space-group type: F-43m, No. 216
Magnetic moment (Bohr magnetons per cell): 0.00
Formation energy from the elements (eV per atom): -0.12

Cell and atoms, written as POSCAR:
```
LiHoZrIn
1.0
0.000 3.584 3.584
3.584 0.000 3.584
3.584 3.584 0.000
Li Ho Zr In
1 1 1 1
Direct
0.000 0.000 0.000 Li
0.750 0.750 0.750 Ho
0.250 0.250 0.250 Zr
0.500 0.500 0.500 In
```



(2)
First-principles (PBE) data for an optimized crystal structure of HoLuMgIn, as listed in Alexandria via LeMat-Bulk.

Values from the calculation:
Total DFT energy (no corrections) (eV/atom): -3.6457
Space-group type: F-43m, No. 216
Magnetic moment (Bohr magnetons per cell): 0.00
Formation energy from the elements (eV per atom): -0.29

Cell and atoms, written as POSCAR:
```
HoLuMgIn
1.0
0.000 3.714 3.714
3.714 0.000 3.714
3.714 3.714 0.000
Ho Lu Mg In
1 1 1 1
Direct
0.000 0.000 0.000 Ho
0.500 0.500 0.500 Lu
0.750 0.750 0.750 Mg
0.250 0.250 0.250 In
```



What is the magnetic moment in the second record?
0.00 Bohr magnetons per cell



Which of these has the highest formation energy from the elements?
LiHoZrIn



Which value of magnetic moment does entry 2 give?
0.00 Bohr magnetons per cell